Density functional theory data (GGA-PBE) for a relaxed structure of SmCdCu.

Cell: 13.3504 3.9001 7.6679 Å, 90.00 90.00 90.00°
Positions (direct):
Sm1 0.0449 0.0000 0.2361
Sm2 0.2500 0.0000 0.8522
Sm3 0.4551 0.0000 0.2361
Sm4 0.5449 0.0000 0.7639
Sm5 0.7500 0.0000 0.1478
Sm6 0.9551 0.0000 0.7639
Cd1 0.1204 0.5000 0.5710
Cd2 0.2500 0.5000 0.1982
Cd3 0.3796 0.5000 0.5710
Cd4 0.6204 0.5000 0.4290
Cd5 0.7500 0.5000 0.8018
Cd6 0.8796 0.5000 0.4290
Cu1 0.0904 0.5000 0.9474
Cu2 0.2500 0.0000 0.4487
Cu3 0.4096 0.5000 0.9474
Cu4 0.5904 0.5000 0.0526
Cu5 0.7500 0.0000 0.5513
Cu6 0.9096 0.5000 0.0526

Computed properties:
ΔH_f (0 K) = -281.6 meV/atom
symmetry = Pmma, No. 51
total energy = -3.525 eV/atom